Entry 1:
First-principles (PBE-GGA) data for a geometry-optimized HgPb2Br structure, as listed in Alexandria via LeMat-Bulk.

Values from the calculation:
**Space-group type**: No. 35
**E_form (uncorrected)**: -0.103 eV per atom
**Density of states at the Fermi level**: 0.69 states/eV/atom
**Final energy**: -2.45 eV/atom
**Excess energy over the best structure of this formula in the dataset**: 99 meV/atom

Lattice parameters (Å, degrees): 3.840 6.144 10.296 90.00 90.00 90.00
Positions (direct):
Hg (0.000, 0.000, 0.000)
Hg (0.500, 0.500, 0.000)
Pb (0.000, 0.000, 0.470)
Pb (0.000, 0.500, 0.751)
Pb (0.500, 0.000, 0.751)
Pb (0.500, 0.500, 0.470)
Br (0.000, 0.500, 0.237)
Br (0.500, 0.000, 0.237)

---

Entry 2:
First-principles (PBE-GGA) data for a geometry-optimized SmZnSb2 structure, as listed in Alexandria via LeMat-Bulk.

Values from the calculation:
**Space-group type**: No. 123
**E_form (uncorrected)**: -0.464 eV per atom
**Density of states at the Fermi level**: 0.50 states/eV/atom
**Final energy**: -4.02 eV/atom

Lattice parameters (Å, degrees): 4.780 4.780 4.360 90.00 90.00 90.00
Positions (direct):
Sm (0.000, 0.000, 0.000)
Zn (0.500, 0.500, 0.000)
Sb (0.000, 0.500, 0.500)
Sb (0.500, 0.000, 0.500)

---

Entry 3:
First-principles (PBE-GGA) data for a geometry-optimized Li3NpI8 structure, as listed in Alexandria via LeMat-Bulk.

Values from the calculation:
**Space-group type**: No. 12
**E_form (uncorrected)**: -0.879 eV per atom
**Density of states at the Fermi level**: 0.69 states/eV/atom
**Final energy**: -3.47 eV/atom

Lattice parameters (Å, degrees): 8.703 8.703 8.979 119.45 119.45 60.04
Positions (direct):
Li (0.000, 0.000, 0.000)
Li (0.000, 0.500, 0.000)
Li (0.500, 0.000, 0.000)
Np (0.500, 0.500, 0.000)
I (0.229, 0.229, 0.184)
I (0.262, 0.262, 0.764)
I (0.263, 0.735, 0.764)
I (0.265, 0.737, 0.236)
I (0.735, 0.263, 0.764)
I (0.737, 0.265, 0.236)
I (0.738, 0.738, 0.236)
I (0.771, 0.771, 0.816)

---

Entry 4:
First-principles (PBE-GGA) data for a geometry-optimized SrCa2LaP structure, as listed in Alexandria via LeMat-Bulk.

Values from the calculation:
**Calculated formation energy**: -434 meV/atom
**Space-group type**: No. 123
**Density of states at the Fermi level**: 1.46 states/eV/atom
**Final energy**: -3.64 eV/atom

Lattice parameters (Å, degrees): 5.745 5.745 5.848 90.00 90.00 90.00
Positions (direct):
Sr (0.000, 0.000, 0.000)
Ca (0.000, 0.500, 0.500)
Ca (0.500, 0.000, 0.500)
La (0.500, 0.500, 0.000)
P (0.500, 0.500, 0.500)

---

Entry 5:
First-principles (PBE-GGA) data for a geometry-optimized YHo2Tm3Te6 structure, as listed in Alexandria via LeMat-Bulk.

Values from the calculation:
**Space-group type**: No. 12
**E_form (uncorrected)**: -1.217 eV per atom
**Density of states at the Fermi level**: 0.52 states/eV/atom
**Final energy**: -5.21 eV/atom

Lattice parameters (Å, degrees): 9.690 9.690 8.695 103.64 103.64 25.66
Positions (direct):
Y (0.000, 0.000, 0.000)
Ho (0.334, 0.334, 0.668)
Ho (0.666, 0.666, 0.332)
Tm (0.000, 0.000, 0.500)
Tm (0.335, 0.335, 0.168)
Tm (0.665, 0.665, 0.832)
Te (0.166, 0.166, 0.584)
Te (0.169, 0.169, 0.081)
Te (0.499, 0.499, 0.254)
Te (0.501, 0.501, 0.746)
Te (0.831, 0.831, 0.919)
Te (0.834, 0.834, 0.416)

---

Entry 6:
First-principles (PBE-GGA) data for a geometry-optimized AcPmTm2 structure, as listed in Alexandria via LeMat-Bulk.

Values from the calculation:
**Calculated formation energy**: 63 meV/atom
**Space-group type**: No. 160
**Density of states at the Fermi level**: 1.59 states/eV/atom
**Final energy**: -4.39 eV/atom
**Excess energy over the best structure of this formula in the dataset**: 11 meV/atom

Lattice parameters (Å, degrees): 3.697 3.697 35.061 90.00 90.00 120.00
Positions (direct):
Ac (0.000, 0.000, 0.000)
Ac (0.333, 0.667, 0.667)
Ac (0.667, 0.333, 0.333)
Pm (0.000, 0.000, 0.166)
Pm (0.333, 0.667, 0.833)
Pm (0.667, 0.333, 0.500)
Tm (0.000, 0.000, 0.419)
Tm (0.000, 0.000, 0.581)
Tm (0.333, 0.667, 0.085)
Tm (0.333, 0.667, 0.248)
Tm (0.667, 0.333, 0.752)
Tm (0.667, 0.333, 0.914)

---

Entry 7:
First-principles (PBE-GGA) data for a geometry-optimized Rb3AuO3 structure, as listed in Alexandria via LeMat-Bulk.

Values from the calculation:
**Space-group type**: No. 176
**E_form (uncorrected)**: -0.802 eV per atom
**Final energy**: -3.81 eV/atom
**Excess energy over the best structure of this formula in the dataset**: 29 meV/atom

Lattice parameters (Å, degrees): 8.352 8.352 5.903 90.00 90.00 120.00
Positions (direct):
Rb (0.096, 0.365, 0.250)
Rb (0.270, 0.904, 0.250)
Rb (0.365, 0.270, 0.750)
Rb (0.635, 0.730, 0.250)
Rb (0.730, 0.096, 0.750)
Rb (0.904, 0.635, 0.750)
Au (0.333, 0.667, 0.750)
Au (0.667, 0.333, 0.250)
O (0.110, 0.407, 0.750)
O (0.296, 0.890, 0.750)
O (0.407, 0.296, 0.250)
O (0.593, 0.704, 0.750)
O (0.704, 0.110, 0.250)
O (0.890, 0.593, 0.250)

---

Entry 8:
First-principles (PBE-GGA) data for a geometry-optimized LiNdCoSb structure, as listed in Alexandria via LeMat-Bulk.

Values from the calculation:
**Space-group type**: No. 216
**E_form (uncorrected)**: -0.476 eV per atom
**Final energy**: -4.95 eV/atom

Lattice parameters (Å, degrees): 6.626 6.626 6.626 90.00 90.00 90.00
Positions (direct):
Li (0.000, 0.000, 0.000)
Li (0.000, 0.500, 0.500)
Li (0.500, 0.000, 0.500)
Li (0.500, 0.500, 0.000)
Nd (0.250, 0.250, 0.750)
Nd (0.250, 0.750, 0.250)
Nd (0.750, 0.250, 0.250)
Nd (0.750, 0.750, 0.750)
Co (0.000, 0.000, 0.500)
Co (0.000, 0.500, 0.000)
Co (0.500, 0.000, 0.000)
Co (0.500, 0.500, 0.500)
Sb (0.250, 0.250, 0.250)
Sb (0.250, 0.750, 0.750)
Sb (0.750, 0.250, 0.750)
Sb (0.750, 0.750, 0.250)

---

> The highest final energy belongs to which entry?

HgPb2Br

---

> final energy of number 7 (Rb3AuO3)?

-3.81 eV/atom